# PBE-GGA LaSm2Dy2Ho, relaxed
data_LaSm2Dy2Ho
_cell_length_a 6.972
_cell_length_b 16.368
_cell_length_c 3.534
_cell_angle_alpha 90.00
_cell_angle_beta 90.00
_cell_angle_gamma 90.00
_space_group_name_H-M_alt 'P n n m'
_space_group_IT_number 58
_space_group_name_Hall '-P 2 2n'
loop_
_atom_site_label
_atom_site_type_symbol
_atom_site_fract_x
_atom_site_fract_y
_atom_site_fract_z
La1 La 0.000 0.000 0.000
Sm1 Sm 0.247 0.341 0.000
Dy1 Dy 0.250 0.155 0.500
Ho1 Ho 0.000 0.500 0.500
# * electronic total energy: -0.33350 Ry per atom
# * ΔE_f: 0.154 eV per atom

# PBE-GGA CrAs2Ir, relaxed
data_CrAs2Ir
_cell_length_a 2.9497
_cell_length_b 2.9497
_cell_length_c 23.2403
_cell_angle_alpha 90.00
_cell_angle_beta 90.00
_cell_angle_gamma 120.00
_space_group_name_H-M_alt 'R -3 m'
_space_group_IT_number 166
_space_group_name_Hall '-R 3 2"'
loop_
_atom_site_label
_atom_site_type_symbol
_atom_site_fract_x
_atom_site_fract_y
_atom_site_fract_z
Cr1 Cr 0.0000 0.0000 0.0000
As1 As 0.0000 0.0000 0.2548
Ir1 Ir 0.0000 0.0000 0.5000
# * excess energy over the best structure of this formula in the dataset: 203 meV/atom
# * electronic total energy: -0.49862 Ry per atom
# * ΔE_f: 0.162 eV per atom

# PBE-GGA Er3Al2Ni7, relaxed
data_Er3Al2Ni7
_cell_length_a 5.1334
_cell_length_b 5.1334
_cell_length_c 23.6056
_cell_angle_alpha 90.00
_cell_angle_beta 90.00
_cell_angle_gamma 120.00
_space_group_name_H-M_alt 'R -3 m'
_space_group_IT_number 166
_space_group_name_Hall '-R 3 2"'
loop_
_atom_site_label
_atom_site_type_symbol
_atom_site_fract_x
_atom_site_fract_y
_atom_site_fract_z
Er1 Er 0.0000 0.0000 0.0000
Er2 Er 0.0000 0.0000 0.1402
Al1 Al 0.0000 0.0000 0.3329
Ni1 Ni 0.0000 0.0000 0.5000
Ni2 Ni 0.0013 0.5006 0.0823
# * electronic total energy: -0.41802 Ry per atom
# * ΔE_f: -0.551 eV per atom

# PBE-GGA NaPm3Sn4, relaxed
data_NaPm3Sn4
_cell_length_a 10.510
_cell_length_b 6.497
_cell_length_c 6.501
_cell_angle_alpha 90.00
_cell_angle_beta 90.00
_cell_angle_gamma 90.00
_space_group_name_H-M_alt 'P m n 21'
_space_group_IT_number 31
_space_group_name_Hall 'P 2ac -2'
loop_
_atom_site_label
_atom_site_type_symbol
_atom_site_fract_x
_atom_site_fract_y
_atom_site_fract_z
Na1 Na 0.000 0.024 0.000
Pm1 Pm 0.000 0.442 0.436
Pm2 Pm 0.247 0.763 0.228
Sn1 Sn 0.000 0.513 0.949
Sn2 Sn 0.000 0.959 0.497
Sn3 Sn 0.220 0.733 0.731
# * electronic total energy: -0.33165 Ry per atom
# * ΔE_f: -0.565 eV per atom

# PBE-GGA LiPmThAu, relaxed
data_LiPmThAu
_cell_length_a 7.414
_cell_length_b 7.414
_cell_length_c 7.414
_cell_angle_alpha 90.00
_cell_angle_beta 90.00
_cell_angle_gamma 90.00
_space_group_name_H-M_alt 'F -4 3 m'
_space_group_IT_number 216
_space_group_name_Hall 'F -4 2 3'
loop_
_atom_site_label
_atom_site_type_symbol
_atom_site_fract_x
_atom_site_fract_y
_atom_site_fract_z
Li1 Li 0.000 0.000 0.000
Pm1 Pm 0.250 0.250 0.750
Th1 Th 0.250 0.250 0.250
Au1 Au 0.000 0.000 0.500
# * electronic total energy: -0.33395 Ry per atom
# * ΔE_f: -0.203 eV per atom

# PBE-GGA Tl2InP, relaxed
data_Tl2InP
_cell_length_a 4.387
_cell_length_b 5.020
_cell_length_c 9.896
_cell_angle_alpha 90.00
_cell_angle_beta 90.00
_cell_angle_gamma 90.00
_space_group_name_H-M_alt 'C m m m'
_space_group_IT_number 65
_space_group_name_Hall '-C 2 2'
loop_
_atom_site_label
_atom_site_type_symbol
_atom_site_fract_x
_atom_site_fract_y
_atom_site_fract_z
Tl1 Tl 0.000 0.000 0.208
In1 In 0.000 0.500 0.500
P1 P 0.000 0.500 0.000
# * excess energy over the best structure of this formula in the dataset: 160 meV/atom
# * electronic total energy: -0.21724 Ry per atom
# * ΔE_f: 0.265 eV per atom

# PBE-GGA Sc4SeI5, relaxed
data_Sc4SeI5
_cell_length_a 18.412
_cell_length_b 4.056
_cell_length_c 8.311
_cell_angle_alpha 90.00
_cell_angle_beta 102.71
_cell_angle_gamma 90.00
_space_group_name_H-M_alt 'C 1 2/m 1'
_space_group_IT_number 12
_space_group_name_Hall '-C 2y'
loop_
_atom_site_label
_atom_site_type_symbol
_atom_site_fract_x
_atom_site_fract_y
_atom_site_fract_z
Sc1 Sc 0.000 0.000 0.202
Sc2 Sc 0.141 0.500 0.069
Se1 Se 0.000 0.500 0.000
I1 I 0.000 0.500 0.500
I2 I 0.163 0.000 0.330
I3 I 0.169 0.000 0.831
# * E_form (uncorrected): -1.14 eV/atom
# * electronic total energy: -0.35239 Ry per atom

# PBE-GGA PaH2AuO6, relaxed
data_PaH2AuO6
_cell_length_a 4.882
_cell_length_b 5.090
_cell_length_c 5.568
_cell_angle_alpha 70.86
_cell_angle_beta 67.31
_cell_angle_gamma 67.56
_space_group_name_H-M_alt 'P -1'
_space_group_IT_number 2
_space_group_name_Hall '-P 1'
loop_
_atom_site_label
_atom_site_type_symbol
_atom_site_fract_x
_atom_site_fract_y
_atom_site_fract_z
Pa1 Pa 0.000 0.000 0.000
H1 H 0.171 0.392 0.294
Au1 Au 0.500 0.500 0.500
O1 O 0.105 0.737 0.730
O2 O 0.262 0.555 0.251
O3 O 0.379 0.145 0.749
# * electronic total energy: -0.46319 Ry per atom

# PBE-GGA VOsI2, relaxed
data_VOsI2
_cell_length_a 4.849
_cell_length_b 4.849
_cell_length_c 16.047
_cell_angle_alpha 90.00
_cell_angle_beta 90.00
_cell_angle_gamma 90.00
_space_group_name_H-M_alt 'I -4 2 d'
_space_group_IT_number 122
_space_group_name_Hall 'I -4 2bw'
loop_
_atom_site_label
_atom_site_type_symbol
_atom_site_fract_x
_atom_site_fract_y
_atom_site_fract_z
V1 V 0.000 0.000 0.000
Os1 Os 0.000 0.000 0.500
I1 I 0.247 0.250 0.625
# * E_form (uncorrected): 1.04 eV/atom
# * excess energy over the best structure of this formula in the dataset: 0 meV/atom
# * electronic total energy: -0.35431 Ry per atom

# PBE-GGA MnBe3Ga, relaxed
data_MnBe3Ga
_cell_length_a 4.154
_cell_length_b 4.154
_cell_length_c 4.154
_cell_angle_alpha 90.00
_cell_angle_beta 90.00
_cell_angle_gamma 90.00
_space_group_name_H-M_alt 'P m -3 m'
_space_group_IT_number 221
_space_group_name_Hall '-P 4 2 3'
loop_
_atom_site_label
_atom_site_type_symbol
_atom_site_fract_x
_atom_site_fract_y
_atom_site_fract_z
Mn1 Mn 0.000 0.000 0.000
Be1 Be 0.000 0.000 0.500
Ga1 Ga 0.500 0.500 0.500
# * excess energy over the best structure of this formula in the dataset: 0 meV/atom
# * electronic total energy: -0.27216 Ry per atom
# * ΔE_f: 0.972 eV per atom

# PBE-GGA CaTc2W, relaxed
data_CaTc2W
_cell_length_a 3.828
_cell_length_b 3.828
_cell_length_c 9.380
_cell_angle_alpha 90.00
_cell_angle_beta 90.00
_cell_angle_gamma 90.00
_space_group_name_H-M_alt 'I -4 m 2'
_space_group_IT_number 119
_space_group_name_Hall 'I -4 -2'
loop_
_atom_site_label
_atom_site_type_symbol
_atom_site_fract_x
_atom_site_fract_y
_atom_site_fract_z
Ca1 Ca 0.000 0.000 0.000
Tc1 Tc 0.000 0.000 0.500
Tc2 Tc 0.000 0.500 0.750
W1 W 0.000 0.500 0.250
# * excess energy over the best structure of this formula in the dataset: 520 meV/atom
# * electronic total energy: -0.59546 Ry per atom
# * ΔE_f: 0.820 eV per atom

# PBE-GGA Pr2HPbO, relaxed
data_Pr2HPbO
_cell_length_a 3.941
_cell_length_b 3.941
_cell_length_c 13.925
_cell_angle_alpha 90.00
_cell_angle_beta 90.00
_cell_angle_gamma 90.00
_space_group_name_H-M_alt 'I -4 m 2'
_space_group_IT_number 119
_space_group_name_Hall 'I -4 -2'
loop_
_atom_site_label
_atom_site_type_symbol
_atom_site_fract_x
_atom_site_fract_y
_atom_site_fract_z
Pr1 Pr 0.000 0.000 0.154
H1 H 0.000 0.500 0.750
Pb1 Pb 0.000 0.000 0.500
O1 O 0.000 0.500 0.250
# * electronic total energy: -0.42978 Ry per atom

Look up the electronic total energy of the third one.
-0.41802 Ry per atom

Look up the electronic total energy of the eleventh one.
-0.59546 Ry per atom

What is the electronic total energy in the first record?
-0.33350 Ry per atom

Which of these has the highest electronic total energy?
Tl2InP